VASP calculation (GGA+U) on a relaxed structure of WBr4O.

Cell lengths 7.4343, 7.4343, 7.4343 Å; angles 93.83, 93.83, 150.06 degrees
Positions (direct):
W  0.0000  0.0000  0.0000
Br  0.0596  0.2384  0.2979
Br  0.2384  0.9404  0.1788
Br  0.7616  0.0596  0.8212
Br  0.9404  0.7616  0.7021
O  0.5000  0.5000  0.0000

Computed properties:
Calculated density in g/cm³: 4.35
Size of the total moment in μB per cell: 0.00
Raw total energy in eV for the cell shown: -23.6